[1]
# Cs5K5Ag

Crystalline Cs5K5Ag at its relaxed geometry (PBE, Alexandria via LeMat-Bulk).

Results
The calculation puts the formation energy at 0.017 eV/atom.

abc: 7.595 9.011 14.918
angles: 96.92 90.00 114.92
Positions (direct):
K 0.431 0.862 0.333
K 0.284 0.568 0.575
Ag 0.000 0.000 0.000
K 0.716 0.432 0.425
Cs 0.873 0.746 0.774
Cs 0.500 0.000 0.000
K 0.569 0.138 0.667
K 0.000 0.000 0.500
Cs 0.818 0.636 0.124
Cs 0.127 0.254 0.226
Cs 0.182 0.364 0.876

---

[2]
# AcZn2Ag10

Crystalline AcZn2Ag10 at its relaxed geometry (PBE, Alexandria via LeMat-Bulk).

Results
The calculation puts the formation energy at -0.102 eV/atom.

abc: 5.464 7.429 7.227
angles: 82.01 67.79 68.42
Positions (direct):
Ag 0.276 0.231 0.217
Ag 0.500 0.000 0.500
Ac 0.000 0.000 0.000
Ag 0.493 0.231 0.783
Ag 0.351 0.644 0.654
Ag 0.649 0.356 0.346
Ag 0.724 0.769 0.783
Ag 0.995 0.356 0.654
Ag 0.005 0.644 0.346
Zn 0.500 0.500 0.000
Zn 0.000 0.500 0.000
Ag 0.000 0.000 0.500
Ag 0.507 0.769 0.217

---

[3]
# MnBSb2Te

Crystalline MnBSb2Te at its relaxed geometry (PBE, Alexandria via LeMat-Bulk).

Results
The distance to the lowest polymorph of the same formula is 7 meV/atom. For the uncorrected formation energy, the calculation gives 1263 meV/atom.

abc: 4.832 4.832 5.244
angles: 90.00 90.00 90.00
Positions (direct):
Te 0.000 0.000 0.500
B 0.500 0.500 0.500
Mn 0.000 0.000 0.000
Sb 0.500 0.000 0.000
Sb 0.000 0.500 0.000

---

[4]
# LaSiPd

Crystalline LaSiPd at its relaxed geometry (PBE, Alexandria via LeMat-Bulk).

Results
For the uncorrected formation energy, the calculation gives -829 meV/atom.

abc: 4.173 4.070 7.916
angles: 90.00 89.99 90.00
Positions (direct):
La 0.312 0.716 0.142
Pd 0.812 0.716 0.513
Si 0.812 0.716 0.817
La 0.312 0.216 0.651
Pd 0.812 0.216 0.280
Si 0.812 0.216 0.976